Entry 1:
A plane-wave DFT calculation with PBEsol was carried out for ScNi3Te after structural relaxation.

a b c (Å): 4.4280 4.4280 4.4280
angles (deg): 90.00 90.00 90.00
Closest atoms and distances in Å follow each position.
Fractional coordinates of all 5 atoms:
Sc1 0.0000 0.0000 0.0000  6 Ni 2.21
Ni1 0.0000 0.0000 0.5000  2 Sc 2.21
Ni2 0.0000 0.5000 0.0000  2 Sc 2.21
Ni3 0.5000 0.0000 0.0000  2 Sc 2.21
Te1 0.5000 0.5000 0.5000  12 Ni 3.13

Computed properties:
Raw formation energy (meV per atom): 856
Symmetry: Pm-3m, No. 221

=====

Entry 2:
A plane-wave DFT calculation with PBEsol was carried out for K4AgAu after structural relaxation.

a b c (Å): 6.8136 6.8136 6.8136
angles (deg): 60.00 60.00 60.00
Closest atoms and distances in Å follow each position.
Fractional coordinates of all 6 atoms:
K1 0.1254 0.1254 0.1254  6 K 3.40-3.42
K2 0.1254 0.1254 0.6239  6 K 3.40-3.42
K3 0.1254 0.6239 0.1254  6 K 3.40-3.42
K4 0.6239 0.1254 0.1254  6 K 3.40-3.42
Ag1 0.7500 0.7500 0.7500  12 K 4.00, 4 Au 4.17
Au1 0.5000 0.5000 0.5000  12 K 3.99, 4 Ag 4.17

Computed properties:
ΔE_f (eV per atom): 0.445
Symmetry: F-43m, No. 216

=====

Entry 3:
A plane-wave DFT calculation with PBEsol was carried out for Li3ZnCd after structural relaxation.

a b c (Å): 4.6760 4.6760 4.6760
angles (deg): 90.00 90.00 90.00
Closest atoms and distances in Å follow each position.
Fractional coordinates of all 5 atoms:
Li1 0.0000 0.0000 0.5000  2 Zn 2.34
Li2 0.0000 0.5000 0.0000  2 Zn 2.34
Li3 0.5000 0.0000 0.0000  2 Zn 2.34
Zn1 0.0000 0.0000 0.0000  6 Li 2.34
Cd1 0.5000 0.5000 0.5000  12 Li 3.31

Computed properties:
ΔE_f (eV per atom): 0.180
Symmetry: Pm-3m, No. 221

=====

Entry 4:
A plane-wave DFT calculation with PBEsol was carried out for NaSc2Au2 after structural relaxation.

a b c (Å): 7.9102 7.9102 3.2856
angles (deg): 90.00 90.00 90.00
Closest atoms and distances in Å follow each position.
Fractional coordinates of all 10 atoms:
Na1 0.0000 0.0000 0.0000  4 Au 3.07, 2 Na 3.29, 8 Sc 3.41
Na2 0.5000 0.5000 0.0000  4 Au 3.07, 2 Na 3.29, 8 Sc 3.41
Sc1 0.1555 0.3445 0.5000  6 Au 2.84-2.85
Sc2 0.3445 0.8445 0.5000  6 Au 2.84-2.85
Sc3 0.6555 0.1555 0.5000  6 Au 2.84-2.85
Sc4 0.8445 0.6555 0.5000  6 Au 2.84-2.85
Au1 0.1367 0.6367 0.0000  6 Sc 2.84-2.85, 1 Au 3.06, 2 Na 3.07
Au2 0.3633 0.1367 0.0000  6 Sc 2.84-2.85, 1 Au 3.06, 2 Na 3.07
Au3 0.6367 0.8633 0.0000  6 Sc 2.84-2.85, 1 Au 3.06, 2 Na 3.07
Au4 0.8633 0.3633 0.0000  6 Sc 2.84-2.85, 1 Au 3.06, 2 Na 3.07

Computed properties:
ΔE_f (eV per atom): -0.546
Symmetry: P4/mbm, No. 127

=====

Entry 5:
A plane-wave DFT calculation with PBEsol was carried out for Tl2CrCl after structural relaxation.

a b c (Å): 3.2199 3.2199 8.9583
angles (deg): 90.00 90.00 90.00
Closest atoms and distances in Å follow each position.
Fractional coordinates of all 4 atoms:
Tl1 0.0000 0.0000 0.0000  4 Cr 3.06, 4 Tl 3.22, 1 Cl 3.39
Tl2 0.5000 0.5000 0.2976  8 Tl 3.22-3.51
Cr1 0.5000 0.5000 0.7718  4 Cl 2.65
Cl1 0.0000 0.0000 0.6214  4 Cr 2.65

Computed properties:
Raw formation energy (meV per atom): 46
ΔE to the lowest computed polymorph (eV per formula unit): 0.027
Symmetry: P4mm, No. 99

=====

Entry 6:
A plane-wave DFT calculation with PBEsol was carried out for CrGeO2 after structural relaxation.

a b c (Å): 6.2747 6.2747 6.2747
angles (deg): 28.72 28.72 28.72
Closest atoms and distances in Å follow each position.
Fractional coordinates of all 4 atoms:
Cr1 0.0000 0.0000 0.0000  2 O 1.92
Ge1 0.5000 0.5000 0.5000  6 O 2.10
O1 0.1065 0.1065 0.1065  1 Cr 1.92, 3 Ge 2.10
O2 0.8935 0.8935 0.8935  1 Cr 1.92, 3 Ge 2.10

Computed properties:
Raw formation energy (meV per atom): -710
Symmetry: R-3m, No. 166

=====

Calculated E, -0.35757; -0.11149; -0.11435; -0.37029; -0.31834; -0.52402 Ry/atom (same order as the records).
Calculated calculated volume, 17.36; 37.28; 20.45; 20.56; 23.22; 12.61 A^3/atom (same order as the records).